(1)
Here is an optimized crystal structure of Sm5Ho2Ru4 from Alexandria via LeMat-Bulk. Energies are from PBE.

Geometry as POSCAR:
```
Sm5Ho2Ru4
1.0
6.115 -2.075 0.000
6.115 2.075 0.000
-1.325 0.000 10.725
Sm Ho Ru
5 2 4
direct
0.000 0.000 0.000 Sm
0.245 0.245 0.621 Sm
0.298 0.298 0.133 Sm
0.702 0.702 0.867 Sm
0.755 0.755 0.379 Sm
0.031 0.031 0.329 Ho
0.969 0.969 0.671 Ho
0.372 0.372 0.862 Ru
0.411 0.411 0.424 Ru
0.589 0.589 0.576 Ru
0.628 0.628 0.138 Ru
```

Results
- SG: No. 12
- Final energy: -6.569 eV/atom
- Energy of formation from the pure elements: -0.22 eV/atom



(2)
Here is an optimized crystal structure of Sm2HoRu2 from Alexandria via LeMat-Bulk. Energies are from PBE.

Geometry as POSCAR:
```
Sm2HoRu2
1.0
-2.169 3.084 4.436
2.169 -3.084 4.436
2.169 3.084 -4.436
Sm Ho Ru
2 1 2
direct
0.199 0.199 0.000 Sm
0.801 0.801 0.000 Sm
0.500 0.000 0.500 Ho
0.217 0.500 0.717 Ru
0.783 0.500 0.283 Ru
```

Results
- SG: No. 71
- Final energy: -6.765 eV/atom
- Energy of formation from the pure elements: -0.25 eV/atom



(3)
Here is an optimized crystal structure of SmHo4Ru5 from Alexandria via LeMat-Bulk. Energies are from PBE.

Geometry as POSCAR:
```
SmHo4Ru5
1.0
3.403 0.000 0.000
0.000 3.403 0.000
0.000 0.000 16.978
Sm Ho Ru
1 4 5
direct
0.000 0.000 0.000 Sm
0.000 0.000 0.203 Ho
0.000 0.000 0.401 Ho
0.000 0.000 0.599 Ho
0.000 0.000 0.797 Ho
0.500 0.500 0.103 Ru
0.500 0.500 0.302 Ru
0.500 0.500 0.500 Ru
0.500 0.500 0.698 Ru
0.500 0.500 0.897 Ru
```

Results
- SG: No. 123
- Final energy: -7.252 eV/atom
- Energy of formation from the pure elements: -0.31 eV/atom



(4)
Here is an optimized crystal structure of Sm3Ho4Ru4 from Alexandria via LeMat-Bulk. Energies are from PBE.

Geometry as POSCAR:
```
Sm3Ho4Ru4
1.0
-1.803 4.487 8.078
1.803 -4.487 8.078
1.803 4.487 -8.078
Sm Ho Ru
3 4 4
direct
0.000 0.000 0.000 Sm
0.401 0.901 0.500 Sm
0.599 0.099 0.500 Sm
0.024 0.334 0.690 Ho
0.355 0.666 0.690 Ho
0.645 0.334 0.310 Ho
0.976 0.666 0.310 Ho
0.254 0.254 0.000 Ru
0.272 0.500 0.772 Ru
0.728 0.500 0.228 Ru
0.746 0.746 0.000 Ru
```

Results
- SG: No. 71
- Final energy: -6.597 eV/atom
- Energy of formation from the pure elements: -0.27 eV/atom



Q: Which of these has the highest energy of formation from the pure elements?
A: Sm5Ho2Ru4